Computed, not measured: crystalline LiCaAl at its relaxed geometry at the GGA-PBE level of DFT.

```
data_LiCaAl
_chemical_formula_sum 'Li1 Ca1 Al1'
_symmetry_space_group_name_H-M 'P 1'
_symmetry_Int_Tables_number 1
_cell_length_a 4.804
_cell_length_b 4.804
_cell_length_c 4.804
_cell_angle_alpha 60.00
_cell_angle_beta 60.00
_cell_angle_gamma 60.00
loop_
_symmetry_equiv_pos_as_xyz
'x,y,z'
loop_
_atom_site_label
_atom_site_type_symbol
_atom_site_fract_x
_atom_site_fract_y
_atom_site_fract_z
Al1 Al 0.000 0.000 0.000
Ca1 Ca 0.500 0.500 0.500
Li1 Li 0.750 0.750 0.750
```

Output
ΔE to the lowest computed polymorph   0.3359 eV/atom
Space group   F-43m, No. 216



Computed, not measured: crystalline Li2Ca3Al4 at its relaxed geometry at the GGA-PBE level of DFT.

```
data_Li2Ca3Al4
_chemical_formula_sum 'Li2 Ca3 Al4'
_symmetry_space_group_name_H-M 'P 1'
_symmetry_Int_Tables_number 1
_cell_length_a 4.737
_cell_length_b 5.965
_cell_length_c 8.520
_cell_angle_alpha 75.08
_cell_angle_beta 73.86
_cell_angle_gamma 66.61
loop_
_symmetry_equiv_pos_as_xyz
'x,y,z'
loop_
_atom_site_label
_atom_site_type_symbol
_atom_site_fract_x
_atom_site_fract_y
_atom_site_fract_z
Li1 Li 0.462 0.857 0.218
Li2 Li 0.538 0.143 0.782
Ca1 Ca 0.313 0.742 0.632
Ca2 Ca 0.000 0.000 0.000
Ca3 Ca 0.687 0.258 0.368
Al1 Al 0.255 0.408 0.082
Al2 Al 0.745 0.592 0.918
Al3 Al 0.009 0.342 0.640
Al4 Al 0.991 0.658 0.360
```

Output
Space group   C2/m, No. 12



Computed, not measured: crystalline LiCaAl at its relaxed geometry at the GGA-PBE level of DFT.

```
data_LiCaAl
_chemical_formula_sum 'Li1 Ca1 Al1'
_symmetry_space_group_name_H-M 'P 1'
_symmetry_Int_Tables_number 1
_cell_length_a 6.002
_cell_length_b 6.002
_cell_length_c 3.604
_cell_angle_alpha 72.53
_cell_angle_beta 72.53
_cell_angle_gamma 34.94
loop_
_symmetry_equiv_pos_as_xyz
'x,y,z'
loop_
_atom_site_label
_atom_site_type_symbol
_atom_site_fract_x
_atom_site_fract_y
_atom_site_fract_z
Ca1 Ca 0.339 0.339 0.661
Al1 Al 0.025 0.025 0.975
Li1 Li 0.636 0.636 0.364
```

Output
ΔE to the lowest computed polymorph   0.0856 eV/atom
Space group   I4mm, No. 107



Computed, not measured: crystalline Li4CaAl at its relaxed geometry at the GGA-PBE level of DFT.

```
data_Li4CaAl
_chemical_formula_sum 'Li4 Ca1 Al1'
_symmetry_space_group_name_H-M 'P 1'
_symmetry_Int_Tables_number 1
_cell_length_a 3.830
_cell_length_b 3.830
_cell_length_c 9.980
_cell_angle_alpha 90.00
_cell_angle_beta 90.00
_cell_angle_gamma 90.00
loop_
_symmetry_equiv_pos_as_xyz
'x,y,z'
loop_
_atom_site_label
_atom_site_type_symbol
_atom_site_fract_x
_atom_site_fract_y
_atom_site_fract_z
Li1 Li 0.500 0.000 0.707
Li2 Li 0.000 0.500 0.707
Li3 Li 0.500 0.000 0.293
Li4 Li 0.000 0.500 0.293
Ca1 Ca 0.000 0.000 0.000
Al1 Al 0.500 0.500 0.500
```

Output
ΔE to the lowest computed polymorph   0.2320 eV/atom
Space group   P4/mmm, No. 123



Computed, not measured: crystalline Li3CaAl at its relaxed geometry at the GGA-PBE level of DFT.

```
data_Li3CaAl
_chemical_formula_sum 'Li6 Ca2 Al2'
_symmetry_space_group_name_H-M 'P 1'
_symmetry_Int_Tables_number 1
_cell_length_a 4.455
_cell_length_b 5.560
_cell_length_c 9.275
_cell_angle_alpha 97.96
_cell_angle_beta 103.90
_cell_angle_gamma 90.00
loop_
_symmetry_equiv_pos_as_xyz
'x,y,z'
loop_
_atom_site_label
_atom_site_type_symbol
_atom_site_fract_x
_atom_site_fract_y
_atom_site_fract_z
Li1 Li 0.935 0.757 0.870
Li2 Li 0.065 0.243 0.130
Li3 Li 0.332 0.694 0.664
Li4 Li 0.668 0.306 0.336
Li5 Li 0.195 0.606 0.390
Li6 Li 0.805 0.394 0.610
Ca1 Ca 0.580 0.784 0.161
Ca2 Ca 0.420 0.216 0.839
Al1 Al 0.769 0.886 0.539
Al2 Al 0.231 0.114 0.461
```

Output
ΔE to the lowest computed polymorph   0.0000 eV/atom
Space group   C2/m, No. 12



Computed, not measured: crystalline Li7Ca3Al2 at its relaxed geometry at the GGA-PBE level of DFT.

```
data_Li7Ca3Al2
_chemical_formula_sum 'Li7 Ca3 Al2'
_symmetry_space_group_name_H-M 'P 1'
_symmetry_Int_Tables_number 1
_cell_length_a 5.726
_cell_length_b 5.726
_cell_length_c 10.543
_cell_angle_alpha 74.24
_cell_angle_beta 74.24
_cell_angle_gamma 60.00
loop_
_symmetry_equiv_pos_as_xyz
'x,y,z'
loop_
_atom_site_label
_atom_site_type_symbol
_atom_site_fract_x
_atom_site_fract_y
_atom_site_fract_z
Li1 Li 0.500 0.500 0.500
Li2 Li 0.925 0.422 0.231
Li3 Li 0.422 0.925 0.231
Li4 Li 0.422 0.422 0.231
Li5 Li 0.075 0.578 0.769
Li6 Li 0.578 0.578 0.769
Li7 Li 0.578 0.075 0.769
Ca1 Ca 0.000 0.000 0.000
Ca2 Ca 0.860 0.860 0.421
Ca3 Ca 0.140 0.140 0.579
Al1 Al 0.667 0.667 0.000
Al2 Al 0.333 0.333 0.000
```

Output
Space group   R-3m, No. 166



Computed, not measured: crystalline Li5Ca2Al at its relaxed geometry at the GGA-PBE level of DFT.

```
data_Li5Ca2Al
_chemical_formula_sum 'Li5 Ca2 Al1'
_symmetry_space_group_name_H-M 'P 1'
_symmetry_Int_Tables_number 1
_cell_length_a 5.961
_cell_length_b 5.961
_cell_length_c 7.519
_cell_angle_alpha 66.65
_cell_angle_beta 66.65
_cell_angle_gamma 90.00
loop_
_symmetry_equiv_pos_as_xyz
'x,y,z'
loop_
_atom_site_label
_atom_site_type_symbol
_atom_site_fract_x
_atom_site_fract_y
_atom_site_fract_z
Li1 Li 0.723 0.723 0.065
Li2 Li 0.723 0.212 0.064
Li3 Li 0.212 0.723 0.065
Li4 Li 0.212 0.212 0.064
Li5 Li 0.323 0.323 0.354
Ca1 Ca 0.207 0.707 0.585
Ca2 Ca 0.707 0.207 0.585
Al1 Al 0.114 0.114 0.771
```

Output
ΔE to the lowest computed polymorph   0.0000 eV/atom
Space group   I4mm, No. 107



Computed, not measured: crystalline Li2CaAl2 at its relaxed geometry at the GGA-PBE level of DFT.

```
data_Li2CaAl2
_chemical_formula_sum 'Li4 Ca2 Al4'
_symmetry_space_group_name_H-M 'P 1'
_symmetry_Int_Tables_number 1
_cell_length_a 5.915
_cell_length_b 5.915
_cell_length_c 8.978
_cell_angle_alpha 96.19
_cell_angle_beta 96.19
_cell_angle_gamma 131.75
loop_
_symmetry_equiv_pos_as_xyz
'x,y,z'
loop_
_atom_site_label
_atom_site_type_symbol
_atom_site_fract_x
_atom_site_fract_y
_atom_site_fract_z
Li1 Li 0.263 0.014 0.523
Li2 Li 0.514 0.763 0.023
Li3 Li 0.737 0.986 0.477
Li4 Li 0.486 0.237 0.977
Ca1 Ca 0.875 0.625 0.750
Ca2 Ca 0.125 0.375 0.250
Al1 Al 0.179 0.321 0.750
Al2 Al 0.431 0.069 0.250
Al3 Al 0.569 0.931 0.750
Al4 Al 0.821 0.679 0.250
```

Output
ΔE to the lowest computed polymorph   0.0578 eV/atom
Space group   C2/c, No. 15



Computed, not measured: crystalline LiCa4Al at its relaxed geometry at the GGA-PBE level of DFT.

```
data_LiCa4Al
_chemical_formula_sum 'Li1 Ca4 Al1'
_symmetry_space_group_name_H-M 'P 1'
_symmetry_Int_Tables_number 1
_cell_length_a 5.454
_cell_length_b 5.453
_cell_length_c 9.288
_cell_angle_alpha 72.94
_cell_angle_beta 72.93
_cell_angle_gamma 59.99
loop_
_symmetry_equiv_pos_as_xyz
'x,y,z'
loop_
_atom_site_label
_atom_site_type_symbol
_atom_site_fract_x
_atom_site_fract_y
_atom_site_fract_z
Li1 Li 0.500 0.500 0.500
Ca1 Ca 0.634 0.634 0.097
Ca2 Ca 0.366 0.366 0.903
Ca3 Ca 0.118 0.118 0.646
Ca4 Ca 0.882 0.882 0.354
Al1 Al 0.000 0.000 0.000
```

Output
ΔE to the lowest computed polymorph   0.1427 eV/atom
Space group   R-3m, No. 166



Computed, not measured: crystalline Li3CaAl at its relaxed geometry at the GGA-PBE level of DFT.

```
data_Li3CaAl
_chemical_formula_sum 'Li9 Ca3 Al3'
_symmetry_space_group_name_H-M 'P 1'
_symmetry_Int_Tables_number 1
_cell_length_a 6.949
_cell_length_b 6.949
_cell_length_c 6.949
_cell_angle_alpha 90.00
_cell_angle_beta 90.00
_cell_angle_gamma 90.00
loop_
_symmetry_equiv_pos_as_xyz
'x,y,z'
loop_
_atom_site_label
_atom_site_type_symbol
_atom_site_fract_x
_atom_site_fract_y
_atom_site_fract_z
Li1 Li 0.500 0.500 0.500
Li2 Li 0.199 0.199 0.199
Li3 Li 0.801 0.801 0.199
Li4 Li 0.801 0.199 0.801
Li5 Li 0.199 0.801 0.801
Li6 Li 0.199 0.199 0.801
Li7 Li 0.801 0.801 0.801
Li8 Li 0.199 0.801 0.199
Li9 Li 0.801 0.199 0.199
Ca1 Ca 0.000 0.500 0.500
Ca2 Ca 0.500 0.000 0.500
Ca3 Ca 0.500 0.500 0.000
Al1 Al 0.500 0.000 0.000
Al2 Al 0.000 0.500 0.000
Al3 Al 0.000 0.000 0.500
```

Output
ΔE to the lowest computed polymorph   0.0005 eV/atom
Space group   Pm-3m, No. 221



Computed, not measured: crystalline LiCaLuAl at its relaxed geometry at the GGA-PBE level of DFT.

```
data_LiCaLuAl
_chemical_formula_sum 'Li1 Ca1 Lu1 Al1'
_symmetry_space_group_name_H-M 'P 1'
_symmetry_Int_Tables_number 1
_cell_length_a 5.190
_cell_length_b 5.190
_cell_length_c 5.190
_cell_angle_alpha 60.00
_cell_angle_beta 60.00
_cell_angle_gamma 60.00
loop_
_symmetry_equiv_pos_as_xyz
'x,y,z'
loop_
_atom_site_label
_atom_site_type_symbol
_atom_site_fract_x
_atom_site_fract_y
_atom_site_fract_z
Ca1 Ca 0.250 0.250 0.250
Lu1 Lu 0.750 0.750 0.750
Al1 Al 0.500 0.500 0.500
Li1 Li 0.000 0.000 0.000
```

Output
Space group   F-43m, No. 216



Computed, not measured: crystalline LiCaMgAl at its relaxed geometry at the GGA-PBE level of DFT.

```
data_LiCaMgAl
_chemical_formula_sum 'Li1 Ca1 Mg1 Al1'
_symmetry_space_group_name_H-M 'P 1'
_symmetry_Int_Tables_number 1
_cell_length_a 5.037
_cell_length_b 5.037
_cell_length_c 5.037
_cell_angle_alpha 60.00
_cell_angle_beta 60.00
_cell_angle_gamma 60.00
loop_
_symmetry_equiv_pos_as_xyz
'x,y,z'
loop_
_atom_site_label
_atom_site_type_symbol
_atom_site_fract_x
_atom_site_fract_y
_atom_site_fract_z
Mg1 Mg 0.500 0.500 0.500
Ca1 Ca 0.000 0.000 0.000
Al1 Al 0.750 0.750 0.750
Li1 Li 0.250 0.250 0.250
```

Output
Space group   F-43m, No. 216



Number 1: calculated volume 26.13 A^3/atom, calculated formation energy 156 meV per atom. Number 2: calculated volume 23.25 A^3/atom, calculated formation energy -201 meV per atom. Number 3: calculated volume 23.53 A^3/atom, calculated formation energy -95 meV per atom. Number 4: calculated volume 24.40 A^3/atom, calculated formation energy 182 meV per atom. Number 5: calculated volume 22.08 A^3/atom, calculated formation energy -66 meV per atom. Number 6: calculated volume 23.69 A^3/atom, calculated formation energy -36 meV per atom. Number 7: calculated volume 27.66 A^3/atom, calculated formation energy 39 meV per atom. Number 8: calculated volume 22.60 A^3/atom, calculated formation energy -32 meV per atom. Number 9: calculated volume 37.51 A^3/atom, calculated formation energy 86 meV per atom. Number 10: calculated volume 22.37 A^3/atom, calculated formation energy -66 meV per atom. Number 11: calculated volume 24.71 A^3/atom, calculated formation energy -130 meV per atom. Number 12: calculated volume 22.59 A^3/atom, calculated formation energy -146 meV per atom.